Entry 1:
CsAsH2Cl8 (PBE, optimized geometry); symmetry = P-1; E_tot = -2.9876 eV/atom
1.0
-3.296 -5.412 -1.676
5.553 -3.859 1.513
-5.190 -2.219 7.658
Cs As H Cl
1 1 2 8
direct
0.000 0.000 0.500 Cs
0.000 0.000 0.000 As
0.384 0.247 0.753 H
0.616 0.753 0.247 H
0.146 0.801 0.124 Cl
0.716 0.803 0.018 Cl
0.829 0.186 0.216 Cl
0.854 0.199 0.876 Cl
0.284 0.197 0.982 Cl
0.171 0.814 0.784 Cl
0.544 0.722 0.385 Cl
0.456 0.278 0.615 Cl



Entry 2:
Cs2HfAsCl6 (PBE, optimized geometry); symmetry = I4/mmm; energy relative to the elements, uncorrected = -1479 meV per atom; D(E_F) = 0.00 states/eV/cell
1.0
8.199 0.000 0.000
0.000 8.199 0.000
4.099 4.099 5.806
Cs As Hf Cl
2 1 1 6
direct
0.750 0.250 0.500 Cs
0.250 0.750 0.500 Cs
0.500 0.500 0.000 As
0.000 0.000 0.000 Hf
0.212 0.212 0.576 Cl
0.788 0.788 0.424 Cl
0.212 0.212 0.000 Cl
0.788 0.788 0.000 Cl
0.788 0.212 0.000 Cl
0.212 0.788 0.000 Cl